{"formula": "Dy3Tm3Th2", "functional": "PBE", "state": "optimized geometry", "de_polymorph_mev_per_atom": 147, "delta_e_f_ev_per_atom": 0.17, "dos_at_fermi_per_ev_cell": 14.432, "e_tot_ev_per_cell": -40.70, "lattice_angstrom": [[0.0432, 5.5242, -3.1785], [-6.2885, -0.9682, -0.3731], [-1.5655, 3.6733, 4.9676]], "species": ["Dy", "Dy", "Dy", "Tm", "Tm", "Tm", "Th", "Th"], "frac_coords": [[0.2129, 0.7871, 0.5000], [0.5000, 0.2129, 0.2129], [0.7871, 0.5000, 0.7871], [0.2882, 0.7118, 0.0000], [0.0000, 0.2882, 0.2882], [0.7118, 0.0000, 0.7118], [0.2426, 0.2426, 0.7574], [0.7574, 0.7574, 0.2426]]}

=====

{"formula": "PmYMgIn", "functional": "PBE", "state": "optimized geometry", "delta_e_f_ev_per_atom": -0.35, "dos_at_fermi_per_ev_cell": 2.734, "e_tot_ev_per_cell": -16.95, "lattice_angstrom": [[5.3820, 0.0000, 0.0000], [2.6910, 4.6610, 0.0000], [2.6910, 1.5537, 4.3944]], "species": ["Y", "Mg", "In", "Pm"], "frac_coords": [[0.2500, 0.2500, 0.2500], [0.5000, 0.5000, 0.5000], [0.0000, 0.0000, 0.0000], [0.7500, 0.7500, 0.7500]]}

=====

{"formula": "CsMgB2Pt", "functional": "PBE", "state": "optimized geometry", "delta_e_f_ev_per_atom": 0.58, "dos_at_fermi_per_ev_cell": 2.724, "e_tot_ev_per_cell": -18.93, "lattice_angstrom": [[-3.3971, -2.3465, -1.1913], [2.3611, -1.1734, -4.4216], [1.7438, -3.4641, 1.8505]], "species": ["Cs", "Mg", "B", "B", "Pt"], "frac_coords": [[0.5000, 0.5000, 0.5000], [0.0000, 0.5000, 0.0000], [0.0000, 0.0000, 0.5000], [0.5000, 0.0000, 0.0000], [0.0000, 0.0000, 0.0000]]}

=====

{"formula": "CuSnRh", "functional": "PBE", "state": "optimized geometry", "delta_e_f_ev_per_atom": -0.12, "dos_at_fermi_per_ev_cell": 1.489, "e_tot_ev_per_cell": -15.82, "lattice_angstrom": [[-0.7504, 4.2074, -0.3581], [-4.0056, 1.4230, -0.5691], [-1.9996, 2.0983, 3.1610]], "species": ["Rh", "Sn", "Cu"], "frac_coords": [[0.2500, 0.2500, 0.2500], [0.0000, 0.0000, 0.0000], [0.5000, 0.5000, 0.5000]]}

=====

{"formula": "TaMnAu2", "functional": "PBE", "state": "optimized geometry", "delta_e_f_ev_per_atom": 0.03, "dos_at_fermi_per_ev_cell": 2.522, "e_tot_ev_per_cell": -27.44, "lattice_angstrom": [[-0.3728, -0.6709, 4.8844], [-2.6390, -2.0258, 3.6576], [2.3405, -4.4018, 0.5381]], "species": ["Au", "Au", "Mn", "Ta"], "frac_coords": [[0.0040, 0.0040, 0.9862], [0.2431, 0.2431, 0.2650], [0.4944, 0.4944, 0.4977], [0.7585, 0.7585, 0.7511]]}

=====

Please write out number 3 again, unchanged.
{"formula": "CsMgB2Pt", "functional": "PBE", "state": "optimized geometry", "delta_e_f_ev_per_atom": 0.58, "dos_at_fermi_per_ev_cell": 2.724, "e_tot_ev_per_cell": -18.93, "lattice_angstrom": [[-3.3971, -2.3465, -1.1913], [2.3611, -1.1734, -4.4216], [1.7438, -3.4641, 1.8505]], "species": ["Cs", "Mg", "B", "B", "Pt"], "frac_coords": [[0.5000, 0.5000, 0.5000], [0.0000, 0.5000, 0.0000], [0.0000, 0.0000, 0.5000], [0.5000, 0.0000, 0.0000], [0.0000, 0.0000, 0.0000]]}

=====

Please write out number 5 again, unchanged.
{"formula": "TaMnAu2", "functional": "PBE", "state": "optimized geometry", "delta_e_f_ev_per_atom": 0.03, "dos_at_fermi_per_ev_cell": 2.522, "e_tot_ev_per_cell": -27.44, "lattice_angstrom": [[-0.3728, -0.6709, 4.8844], [-2.6390, -2.0258, 3.6576], [2.3405, -4.4018, 0.5381]], "species": ["Au", "Au", "Mn", "Ta"], "frac_coords": [[0.0040, 0.0040, 0.9862], [0.2431, 0.2431, 0.2650], [0.4944, 0.4944, 0.4977], [0.7585, 0.7585, 0.7511]]}